## NaCu2BiF8 (PBE-GGA)

Data for a relaxed NaCu2BiF8 crystal.

abc: 6.6115 6.6115 6.6115
angles: 130.36 130.36 72.83
Positions (direct):
1 Na 0.0000 0.0000 0.0000
2 Cu 0.5000 0.5000 0.0000
3 Cu 0.7500 0.2500 0.5000
4 Bi 0.2500 0.7500 0.5000
5 F 0.2706 0.4225 0.5664
6 F 0.2958 0.7294 0.1519
7 F 0.4050 0.0367 0.0567
8 F 0.5775 0.1438 0.8481
9 F 0.6517 0.5950 0.6317
10 F 0.8562 0.7042 0.4336
11 F 0.9633 0.0200 0.3683
12 F 0.9800 0.3483 0.9433

Values from the calculation:
magnetization = 2.027 μB/f.u.
formation energy from raw total energies = -2.0056 eV/atom
SG = No. 82

## Na2CuBiF8 (PBE-GGA)

Data for a relaxed Na2CuBiF8 crystal.

abc: 3.8869 5.4041 8.2449
angles: 84.45 90.00 86.09
Positions (direct):
1 Na 0.0026 0.0256 0.2309
2 Na 0.9974 0.9744 0.7691
3 Cu 0.5000 0.5000 0.0000
4 Bi 0.5000 0.5000 0.5000
5 F 0.0059 0.2859 0.4369
6 F 0.1445 0.7290 0.0247
7 F 0.4549 0.3520 0.2045
8 F 0.4800 0.1741 0.6897
9 F 0.5200 0.8259 0.3103
10 F 0.5451 0.6480 0.7955
11 F 0.8555 0.2710 0.9753
12 F 0.9941 0.7141 0.5631

Values from the calculation:
magnetization = 0.140 μB/f.u.
formation energy from raw total energies = -2.1997 eV/atom
SG = No. 2

## CuBiO2F (PBE-GGA)

Data for a relaxed CuBiO2F crystal.

abc: 3.9630 3.9630 3.8872
angles: 90.00 90.00 90.00
Positions (direct):
1 Cu 0.0000 0.0000 0.0000
2 Bi 0.5000 0.5000 0.5000
3 O 0.0000 0.5000 0.0000
4 O 0.5000 0.0000 0.0000
5 F 0.0000 0.0000 0.5000

Values from the calculation:
magnetization = 0.000 μB/f.u.
formation energy from raw total energies = -0.9051 eV/atom
SG = No. 123

## CuBiO2F (PBE-GGA)

Data for a relaxed CuBiO2F crystal.

abc: 4.3046 4.3046 4.4462
angles: 90.00 90.00 90.00
Positions (direct):
1 Cu 0.0000 0.0000 0.0000
2 Bi 0.5000 0.5000 0.5000
3 O 0.0000 0.5000 0.5000
4 O 0.5000 0.0000 0.5000
5 F 0.5000 0.5000 0.0000

Values from the calculation:
magnetization = 0.163 μB/f.u.
formation energy from raw total energies = -0.5618 eV/atom
SG = No. 123

## CuBi2O4F (PBE-GGA)

Data for a relaxed CuBi2O4F crystal.

abc: 5.1911 5.1911 7.4356
angles: 113.87 113.87 38.21
Positions (direct):
1 Cu 0.0000 0.0000 0.0000
2 Bi 0.1887 0.1887 0.7436
3 Bi 0.8113 0.8113 0.2564
4 O 0.1575 0.1575 0.2576
5 O 0.3790 0.3790 0.0553
6 O 0.6210 0.6210 0.9447
7 O 0.8425 0.8425 0.7424
8 F 0.5000 0.5000 0.5000

Values from the calculation:
magnetization = 0.000 μB/f.u.
formation energy from raw total energies = -1.0996 eV/atom
SG = No. 12

## CuBiO2F (PBE-GGA)

Data for a relaxed CuBiO2F crystal.

abc: 4.2402 4.2402 4.2528
angles: 90.00 90.00 90.00
Positions (direct):
1 Cu 0.0000 0.0000 0.0000
2 Bi 0.5000 0.5000 0.0000
3 O 0.0000 0.5000 0.5000
4 O 0.5000 0.0000 0.5000
5 F 0.5000 0.5000 0.5000

Values from the calculation:
magnetization = 0.000 μB/f.u.
formation energy from raw total energies = 0.6230 eV/atom
SG = No. 123

## CuBi2SeF (PBE-GGA)

Data for a relaxed CuBi2SeF crystal.

abc: 4.8443 4.8443 5.0378
angles: 90.00 90.00 90.00
Positions (direct):
1 Cu 0.0000 0.0000 0.0000
2 Bi 0.0000 0.5000 0.5000
3 Bi 0.5000 0.0000 0.5000
4 Se 0.5000 0.5000 0.0000
5 F 0.5000 0.5000 0.5000

Values from the calculation:
magnetization = 0.000 μB/f.u.
formation energy from raw total energies = 0.1223 eV/atom
SG = No. 123

## CuTcBi2F (PBE-GGA)

Data for a relaxed CuTcBi2F crystal.

abc: 5.3819 5.3819 3.7041
angles: 90.00 90.00 90.00
Positions (direct):
1 Cu 0.0000 0.0000 0.0000
2 Tc 0.5000 0.5000 0.5000
3 Bi 0.0000 0.5000 0.0000
4 Bi 0.5000 0.0000 0.0000
5 F 0.0000 0.0000 0.5000

Values from the calculation:
magnetization = 2.760 μB/f.u.
formation energy from raw total energies = 0.2649 eV/atom
SG = No. 123